(1)
Entry from Alexandria via LeMat-Bulk: NpPaP2N after structural relaxation (GGA-PBE).

The calculation puts the total DFT energy (no corrections) at -9.40 eV per atom. For the total moment, the calculation gives 5.906 Bohr magnetons per cell. The uncorrected formation energy is -1082 meV per atom.

The structure belongs to space group P4/nmm (No. 129, origin choice 2); the cell edges are 3.867, 3.867 and 13.239 Å and the angles 90.00°, 90.00° and 90.00°. The distinct sites, in fractional coordinates, are Np at (0.250, 0.250, 0.113), Pa at (0.250, 0.250, 0.593), P at (0.250, 0.250, 0.312), P at (0.250, 0.250, 0.903) and N at (0.250, 0.750, 0.500).


(2)
Entry from Alexandria via LeMat-Bulk: NpPa3P4N12 after structural relaxation (GGA-PBE).

The calculation puts the total DFT energy (no corrections) at -8.90 eV per atom. For the total moment, the calculation gives 13.389 Bohr magnetons per cell. The uncorrected formation energy is -751 meV per atom.

The structure belongs to space group R32 (No. 155, hexagonal axes); the cell edges are 10.8835, 10.8835 and 8.7155 Å and the angles 90.00°, 90.00° and 120.00°. The distinct sites, in fractional coordinates, are Np at (0.0000, 0.0000, 0.0000), Pa at (0.0000, 0.5402, 0.0000), P at (0.0000, 0.0000, 0.5000), P at (0.0000, 0.4587, 0.5000), N at (0.0000, 0.6057, 0.5000), N at (0.0000, 0.8536, 0.5000) and N at (0.0170, 0.2016, 0.1749).


(3)
Entry from Alexandria via LeMat-Bulk: NpPa2PN5 after structural relaxation (GGA-PBE).

The calculation puts the total DFT energy (no corrections) at -9.73 eV per atom. For the total moment, the calculation gives 7.001 Bohr magnetons per cell. The uncorrected formation energy is -958 meV per atom.

The structure belongs to space group P4/mbm (No. 127); the cell edges are 6.557, 6.557 and 5.425 Å and the angles 90.00°, 90.00° and 90.00°. The distinct sites, in fractional coordinates, are Np at (0.000, 0.000, 0.000), Pa at (0.174, 0.326, 0.500), P at (0.000, 0.500, 0.000), N at (0.000, 0.000, 0.500) and N at (0.140, 0.640, 0.234).


(4)
Entry from Alexandria via LeMat-Bulk: Np2P2PbN6 after structural relaxation (GGA-PBE).

The calculation puts the total DFT energy (no corrections) at -8.59 eV per atom. For the total moment, the calculation gives 7.974 Bohr magnetons per cell. The uncorrected formation energy is -379 meV per atom.

The structure belongs to space group C2/m (No. 12); the cell edges are 10.987, 6.365 and 6.030 Å and the angles 90.00°, 122.96° and 90.00°. The distinct sites, in fractional coordinates, are Np at (0.181, 0.000, 0.320), P at (0.198, 0.000, 0.833), Pb at (0.000, 0.500, 0.000), N at (0.056, 0.000, 0.855) and N at (0.213, 0.202, 0.674).


(5)
Entry from Alexandria via LeMat-Bulk: PmNpPN5 after structural relaxation (GGA-PBE).

The calculation puts the total DFT energy (no corrections) at -8.93 eV per atom. For the total moment, the calculation gives 0.236 Bohr magnetons per cell. The uncorrected formation energy is -840 meV per atom.

The structure belongs to space group C2/c (No. 15); the cell edges are 6.845, 9.290 and 7.340 Å and the angles 90.00°, 112.45° and 90.00°. The distinct sites, in fractional coordinates, are Pm at (0.000, 0.163, 0.250), Np at (0.000, 0.500, 0.000), P at (0.000, 0.180, 0.750), N at (0.000, 0.417, 0.250), N at (0.096, 0.280, 0.616) and N at (0.179, 0.067, 0.900).


(6)
Entry from Alexandria via LeMat-Bulk: PmNpP2N6 after structural relaxation (GGA-PBE).

The calculation puts the total DFT energy (no corrections) at -8.62 eV per atom. For the total moment, the calculation gives 8.000 Bohr magnetons per cell. The uncorrected formation energy is -771 meV per atom.

The structure belongs to space group C2/c (No. 15); the cell edges are 10.005, 9.954 and 5.318 Å and the angles 90.00°, 103.42° and 90.00°. The distinct sites, in fractional coordinates, are Pm at (0.000, 0.098, 0.250), Np at (0.000, 0.315, 0.750), P at (0.210, 0.419, 0.252), N at (0.114, 0.292, 0.119), N at (0.128, 0.112, 0.688) and N at (0.159, 0.458, 0.527).


(7)
Entry from Alexandria via LeMat-Bulk: PrNpPN after structural relaxation (GGA-PBE).

The calculation puts the total DFT energy (no corrections) at -8.96 eV per atom. For the total moment, the calculation gives 10.022 Bohr magnetons per cell. The uncorrected formation energy is -1093 meV per atom.

The structure belongs to space group R3m (No. 160, hexagonal axes); the cell edges are 3.7640, 3.7640 and 19.0810 Å and the angles 90.00°, 90.00° and 120.00°. The distinct sites, in fractional coordinates, are Pr at (0.0000, 0.0000, 0.0000), Np at (0.0000, 0.0000, 0.4796), P at (0.0000, 0.0000, 0.2336) and N at (0.0000, 0.0000, 0.7548).


(8)
Entry from Alexandria via LeMat-Bulk: PrNp3P4N12 after structural relaxation (GGA-PBE).

The calculation puts the total DFT energy (no corrections) at -8.89 eV per atom. For the total moment, the calculation gives 24.000 Bohr magnetons per cell. The uncorrected formation energy is -633 meV per atom.

The structure belongs to space group R32 (No. 155, hexagonal axes); the cell edges are 10.8249, 10.8249 and 8.7108 Å and the angles 90.00°, 90.00° and 120.00°. The distinct sites, in fractional coordinates, are Pr at (0.0000, 0.0000, 0.0000), Np at (0.0000, 0.5469, 0.0000), P at (0.0000, 0.0000, 0.5000), P at (0.0000, 0.4520, 0.5000), N at (0.0000, 0.5993, 0.5000), N at (0.0000, 0.8540, 0.5000) and N at (0.0226, 0.2062, 0.1765).


(9)
Entry from Alexandria via LeMat-Bulk: Pu2NpPN5 after structural relaxation (GGA-PBE).

The calculation puts the total DFT energy (no corrections) at -10.57 eV per atom. For the total moment, the calculation gives 25.776 Bohr magnetons per cell. The uncorrected formation energy is -717 meV per atom.

The structure belongs to space group P4/mbm (No. 127); the cell edges are 6.375, 6.375 and 5.589 Å and the angles 90.00°, 90.00° and 90.00°. The distinct sites, in fractional coordinates, are Pu at (0.177, 0.323, 0.000), Np at (0.000, 0.000, 0.500), P at (0.000, 0.500, 0.500), N at (0.000, 0.000, 0.000) and N at (0.138, 0.638, 0.283).


(10)
Entry from Alexandria via LeMat-Bulk: RbNp2P2N6 after structural relaxation (GGA-PBE).

The calculation puts the total DFT energy (no corrections) at -8.52 eV per atom. For the total moment, the calculation gives 14.004 Bohr magnetons per cell. The uncorrected formation energy is -558 meV per atom.

The structure belongs to space group C2/m (No. 12); the cell edges are 11.615, 6.269 and 6.184 Å and the angles 90.00°, 121.04° and 90.00°. The distinct sites, in fractional coordinates, are Rb at (0.000, 0.000, 0.000), Np at (0.176, 0.500, 0.306), P at (0.160, 0.500, 0.761), N at (0.058, 0.500, 0.857) and N at (0.204, 0.291, 0.672).


(11)
Entry from Alexandria via LeMat-Bulk: Sr2NpP2N6 after structural relaxation (GGA-PBE).

The calculation puts the total DFT energy (no corrections) at -7.93 eV per atom. For the total moment, the calculation gives 2.999 Bohr magnetons per cell. The uncorrected formation energy is -920 meV per atom.

The structure belongs to space group R-3m (No. 166, hexagonal axes); the cell edges are 5.7457, 5.7457 and 16.6345 Å and the angles 90.00°, 90.00° and 120.00°. The distinct sites, in fractional coordinates, are Sr at (0.0000, 0.0000, 0.2259), Np at (0.0000, 0.0000, 0.0000), P at (0.0000, 0.0000, 0.4345) and N at (0.0157, 0.5078, 0.2557).


(12)
Entry from Alexandria via LeMat-Bulk: SrNpP2N6 after structural relaxation (GGA-PBE).

The calculation puts the total DFT energy (no corrections) at -8.18 eV per atom. For the total moment, the calculation gives 4.001 Bohr magnetons per cell. The uncorrected formation energy is -644 meV per atom.

The structure belongs to space group C2/c (No. 15); the cell edges are 10.388, 10.193 and 5.521 Å and the angles 90.00°, 107.67° and 90.00°. The distinct sites, in fractional coordinates, are Sr at (0.000, 0.095, 0.250), Np at (0.000, 0.297, 0.750), P at (0.214, 0.421, 0.162), N at (0.101, 0.302, 0.113), N at (0.132, 0.126, 0.716) and N at (0.173, 0.468, 0.850).


(13)
Entry from Alexandria via LeMat-Bulk: SrNpPN4 after structural relaxation (GGA-PBE).

The calculation puts the total DFT energy (no corrections) at -8.48 eV per atom. For the total moment, the calculation gives 4.000 Bohr magnetons per cell. The uncorrected formation energy is -863 meV per atom.

The structure belongs to space group P2_1/m (No. 11); the cell edges are 5.480, 5.501 and 7.001 Å and the angles 90.00°, 106.81° and 90.00°. The distinct sites, in fractional coordinates, are Sr at (0.211, 0.250, 0.431), Np at (0.269, 0.250, 0.954), P at (0.265, 0.750, 0.179), N at (0.070, 0.750, 0.945), N at (0.071, 0.750, 0.321) and N at (0.459, 0.516, 0.206).


(14)
Entry from Alexandria via LeMat-Bulk: NpTcPN after structural relaxation (GGA-PBE).

The calculation puts the total DFT energy (no corrections) at -10.15 eV per atom. For the total moment, the calculation gives 5.108 Bohr magnetons per cell. The uncorrected formation energy is -893 meV per atom.

The structure belongs to space group P4/nmm (No. 129, origin choice 2); the cell edges are 3.933, 3.933 and 7.923 Å and the angles 90.00°, 90.00° and 90.00°. The distinct sites, in fractional coordinates, are Np at (0.250, 0.250, 0.139), Tc at (0.250, 0.750, 0.500), P at (0.250, 0.250, 0.666) and N at (0.250, 0.750, 0.000).


(15)
Entry from Alexandria via LeMat-Bulk: Th2NpPN5 after structural relaxation (GGA-PBE).

The calculation puts the total DFT energy (no corrections) at -9.18 eV per atom. For the total moment, the calculation gives 9.005 Bohr magnetons per cell. The uncorrected formation energy is -867 meV per atom.

The structure belongs to space group P4/mbm (No. 127); the cell edges are 6.695, 6.695 and 5.642 Å and the angles 90.00°, 90.00° and 90.00°. The distinct sites, in fractional coordinates, are Th at (0.178, 0.322, 0.000), Np at (0.000, 0.000, 0.500), P at (0.000, 0.500, 0.500), N at (0.000, 0.000, 0.000) and N at (0.133, 0.633, 0.282).


(16)
Entry from Alexandria via LeMat-Bulk: ThNpPN5 after structural relaxation (GGA-PBE).

The calculation puts the total DFT energy (no corrections) at -9.42 eV per atom. For the total moment, the calculation gives 4.000 Bohr magnetons per cell. The uncorrected formation energy is -1000 meV per atom.

The structure belongs to space group C2/c (No. 15); the cell edges are 6.845, 9.339 and 7.220 Å and the angles 90.00°, 109.92° and 90.00°. The distinct sites, in fractional coordinates, are Th at (0.000, 0.157, 0.250), Np at (0.000, 0.500, 0.000), P at (0.000, 0.180, 0.750), N at (0.000, 0.406, 0.250), N at (0.107, 0.282, 0.621) and N at (0.167, 0.069, 0.908).


(17)
Entry from Alexandria via LeMat-Bulk: NpTiP2N6 after structural relaxation (GGA-PBE).

The calculation puts the total DFT energy (no corrections) at -8.90 eV per atom. For the total moment, the calculation gives 12.003 Bohr magnetons per cell. The uncorrected formation energy is -740 meV per atom.

The structure belongs to space group C2/c (No. 15); the cell edges are 10.325, 9.140 and 5.513 Å and the angles 90.00°, 111.37° and 90.00°. The distinct sites, in fractional coordinates, are Np at (0.000, 0.106, 0.250), Ti at (0.000, 0.289, 0.750), P at (0.206, 0.420, 0.171), N at (0.106, 0.278, 0.135), N at (0.127, 0.111, 0.687) and N at (0.159, 0.457, 0.850).


(18)
Entry from Alexandria via LeMat-Bulk: NpTl2P2N6 after structural relaxation (GGA-PBE).

The calculation puts the total DFT energy (no corrections) at -7.28 eV per atom. For the total moment, the calculation gives 3.021 Bohr magnetons per cell. The uncorrected formation energy is -149 meV per atom.

The structure belongs to space group R-3m (No. 166, hexagonal axes); the cell edges are 5.7677, 5.7677 and 19.4389 Å and the angles 90.00°, 90.00° and 120.00°. The distinct sites, in fractional coordinates, are Np at (0.0000, 0.0000, 0.0000), Tl at (0.0000, 0.0000, 0.2085), P at (0.0000, 0.0000, 0.3971) and N at (0.0167, 0.5083, 0.2666).